{
  "formula": "AlZnRh",
  "functional": "PBE",
  "state": "relaxed",
  "final_energy_ev_per_atom": -4.69,
  "e_form_ev_per_atom": -0.568,
  "crystal_system": "tetragonal",
  "e_above_lowest_polymorph_ev_per_atom": 0.000,
  "spacegroup": "No. 107",
  "lattice": [[3.1444, 0.0000, 0.0000], [0.0000, 3.1444, 0.0000], [0.0000, 0.0000, 8.5595]],
  "species": ["Al", "Al", "Zn", "Zn", "Rh", "Rh"],
  "fractional_positions": [[0.0000, 0.0000, 0.0000], [0.5000, 0.5000, 0.5000], [0.0000, 0.0000, 0.6779], [0.5000, 0.5000, 0.1779], [0.0000, 0.0000, 0.3508], [0.5000, 0.5000, 0.8508]]
}


{
  "formula": "CdMoW2",
  "functional": "PBE",
  "state": "relaxed",
  "final_energy_ev_per_atom": -8.85,
  "e_form_ev_per_atom": 0.567,
  "crystal_system": "orthorhombic",
  "spacegroup": "No. 65",
  "lattice": [[5.6522, 0.0000, 0.0000], [0.0000, 8.7593, 0.0000], [0.0000, 0.0000, 2.7281]],
  "species": ["Cd", "Cd", "Mo", "Mo", "W", "W", "W", "W"],
  "fractional_positions": [[0.0000, 0.0000, 0.0000], [0.5000, 0.5000, 0.0000], [0.0000, 0.5000, 0.0000], [0.5000, 0.0000, 0.0000], [0.2500, 0.2500, 0.5000], [0.2500, 0.7500, 0.5000], [0.7500, 0.2500, 0.5000], [0.7500, 0.7500, 0.5000]]
}


{
  "formula": "Zn2BIr2",
  "functional": "PBE",
  "state": "relaxed",
  "final_energy_ev_per_atom": -5.69,
  "e_form_ev_per_atom": -0.304,
  "crystal_system": "orthorhombic",
  "e_above_lowest_polymorph_ev_per_atom": 0.000,
  "spacegroup": "No. 63",
  "lattice": [[1.4225, -13.4913, 0.0000], [1.4225, 13.4913, 0.0000], [0.0000, 0.0000, 10.1568]],
  "species": ["Zn", "Zn", "Zn", "Zn", "Zn", "Zn", "Zn", "Zn", "Zn", "Zn", "Zn", "Zn", "B", "B", "B", "B", "B", "B", "Ir", "Ir", "Ir", "Ir", "Ir", "Ir", "Ir", "Ir", "Ir", "Ir", "Ir", "Ir"],
  "fractional_positions": [[0.0000, 0.0000, 0.0000], [0.0000, 0.0000, 0.5000], [0.0888, 0.9112, 0.6187], [0.0888, 0.9112, 0.8813], [0.1800, 0.8200, 0.7500], [0.2392, 0.7608, 0.1104], [0.2392, 0.7608, 0.3896], [0.7608, 0.2392, 0.6104], [0.7608, 0.2392, 0.8896], [0.8200, 0.1800, 0.2500], [0.9112, 0.0888, 0.1187], [0.9112, 0.0888, 0.3813], [0.0393, 0.9607, 0.2500], [0.1382, 0.8618, 0.1065], [0.1382, 0.8618, 0.3935], [0.8618, 0.1382, 0.6065], [0.8618, 0.1382, 0.8935], [0.9607, 0.0393, 0.7500], [0.3279, 0.6721, 0.7500], [0.3310, 0.6690, 0.0310], [0.3310, 0.6690, 0.4690], [0.4251, 0.5749, 0.6095], [0.4251, 0.5749, 0.8905], [0.4798, 0.5202, 0.2500], [0.5202, 0.4798, 0.7500], [0.5749, 0.4251, 0.1095], [0.5749, 0.4251, 0.3905], [0.6690, 0.3310, 0.5310], [0.6690, 0.3310, 0.9690], [0.6721, 0.3279, 0.2500]]
}


{
  "formula": "SmReTc",
  "functional": "PBE",
  "state": "relaxed",
  "final_energy_ev_per_atom": -8.86,
  "e_form_ev_per_atom": 0.320,
  "crystal_system": "tetragonal",
  "e_above_lowest_polymorph_ev_per_atom": 0.173,
  "spacegroup": "No. 139",
  "lattice": [[4.2820, 0.0000, 0.0000], [0.0000, 4.2820, 0.0000], [0.0000, 0.0000, 14.3601]],
  "species": ["Sm", "Sm", "Sm", "Sm", "Re", "Re", "Re", "Re", "Tc", "Tc", "Tc", "Tc"],
  "fractional_positions": [[0.0000, 0.0000, 0.1685], [0.0000, 0.0000, 0.8315], [0.5000, 0.5000, 0.3315], [0.5000, 0.5000, 0.6685], [0.0000, 0.0000, 0.4029], [0.0000, 0.0000, 0.5971], [0.5000, 0.5000, 0.0971], [0.5000, 0.5000, 0.9029], [0.0000, 0.5000, 0.0000], [0.0000, 0.5000, 0.5000], [0.5000, 0.0000, 0.0000], [0.5000, 0.0000, 0.5000]]
}


{
  "formula": "ZnTcW",
  "functional": "PBE",
  "state": "relaxed",
  "final_energy_ev_per_atom": -8.08,
  "e_form_ev_per_atom": 0.120,
  "crystal_system": "trigonal",
  "e_above_lowest_polymorph_ev_per_atom": 0.046,
  "spacegroup": "No. 156",
  "lattice": [[4.4020, 0.0000, 0.0000], [-2.2010, 3.8123, 0.0000], [0.0000, 0.0000, 2.6845]],
  "species": ["Zn", "Tc", "W"],
  "fractional_positions": [[0.0000, 0.0000, 0.0000], [0.3333, 0.6667, 0.3466], [0.6667, 0.3333, 0.6099]]
}


{
  "formula": "RbMoPd3",
  "functional": "PBE",
  "state": "relaxed",
  "final_energy_ev_per_atom": -3.11,
  "e_form_ev_per_atom": 2.369,
  "crystal_system": "cubic",
  "e_above_lowest_polymorph_ev_per_atom": 1.608,
  "spacegroup": "No. 221",
  "lattice": [[4.9445, 0.0000, 0.0000], [0.0000, 4.9445, 0.0000], [0.0000, 0.0000, 4.9445]],
  "species": ["Rb", "Mo", "Pd", "Pd", "Pd"],
  "fractional_positions": [[0.0000, 0.0000, 0.0000], [0.5000, 0.5000, 0.5000], [0.0000, 0.0000, 0.5000], [0.0000, 0.5000, 0.0000], [0.5000, 0.0000, 0.0000]]
}